TbTm5Ag4: optimized geometry, PBE-GGA.

Unit cell a=3.5607 b=3.5607 c=19.4907 alpha=90.00 beta=90.00 gamma=90.00
Closest atoms and distances in Å follow each position.
Sites, in units of the cell vectors:
Tb  0.0000  0.0000  0.0000  8 Tm 3.52, 4 Tb 3.56
Tm  0.5000  0.5000  0.1264  4 Ag 3.10
Tm  0.5000  0.5000  0.3124  8 Ag 3.10-3.12
Tm  0.5000  0.5000  0.5000  8 Ag 3.10
Tm  0.5000  0.5000  0.6876  8 Ag 3.10-3.12
Tm  0.5000  0.5000  0.8736  4 Ag 3.10
Ag  0.0000  0.0000  0.2196  8 Tm 3.10
Ag  0.0000  0.0000  0.4071  8 Tm 3.10-3.12
Ag  0.0000  0.0000  0.5929  8 Tm 3.10-3.12
Ag  0.0000  0.0000  0.7804  8 Tm 3.10

Summary:
calculated formation energy = -0.260 eV per atom
N(E_F) = 7.14 states/eV/cell
crystal system = tetragonal



TiTlPb2: optimized geometry, PBE-GGA.

Unit cell a=5.3602 b=5.3602 c=5.3602 alpha=60.00 beta=60.00 gamma=60.00
Closest atoms and distances in Å follow each position.
Sites, in units of the cell vectors:
Pb  0.2500  0.2500  0.2500  4 Tl 3.28, 4 Ti 3.28
Pb  0.7500  0.7500  0.7500  4 Tl 3.28, 4 Ti 3.28
Tl  0.5000  0.5000  0.5000  8 Pb 3.28
Ti  0.0000  0.0000  0.0000  8 Pb 3.28

Summary:
calculated formation energy = 0.383 eV per atom
N(E_F) = 7.17 states/eV/cell
crystal system = cubic



DyY6Er12: optimized geometry, PBE-GGA.

Unit cell a=8.7640 b=8.7640 c=8.7640 alpha=98.55 beta=98.55 gamma=98.55
Closest atoms and distances in Å follow each position.
Sites, in units of the cell vectors:
Dy  0.0000  0.0000  0.0000  6 Y 3.59
Y  0.7435  0.2036  0.2036  4 Er 2.95-3.19
Y  0.2036  0.2036  0.7435  4 Er 2.95-3.19
Y  0.2036  0.7435  0.2036  4 Er 2.95-3.19
Y  0.7964  0.7964  0.2565  4 Er 2.95-3.19
Y  0.2565  0.7964  0.7964  4 Er 2.95-3.19
Y  0.7964  0.2565  0.7964  4 Er 2.95-3.19
Er  0.8821  0.1179  0.5000  4 Y 2.95-3.19, 1 Er 3.13
Er  0.8144  0.5281  0.5281  9 Er 3.46-3.84, 3 Y 3.59-3.62
Er  0.5281  0.5281  0.8144  9 Er 3.46-3.84, 3 Y 3.59-3.62
Er  0.4719  0.1856  0.4719  9 Er 3.46-3.84, 3 Y 3.59-3.62
Er  0.4719  0.4719  0.1856  9 Er 3.46-3.84, 3 Y 3.59-3.62
Er  0.1856  0.4719  0.4719  9 Er 3.46-3.84, 3 Y 3.59-3.62
Er  0.1179  0.5000  0.8821  4 Y 2.95-3.19, 1 Er 3.13
Er  0.5000  0.8821  0.1179  4 Y 2.95-3.19, 1 Er 3.13
Er  0.1179  0.8821  0.5000  4 Y 2.95-3.19, 1 Er 3.13
Er  0.8821  0.5000  0.1179  4 Y 2.95-3.19, 1 Er 3.13
Er  0.5000  0.1179  0.8821  4 Y 2.95-3.19, 1 Er 3.13
Er  0.5281  0.8144  0.5281  9 Er 3.46-3.84, 3 Y 3.59-3.62

Summary:
calculated formation energy = 0.482 eV per atom
N(E_F) = 22.38 states/eV/cell
crystal system = trigonal



Q: Which formula does entry 2 have?
A: TiTlPb2



Copy entry 3 word for word.
DyY6Er12: optimized geometry, PBE-GGA.

Unit cell a=8.7640 b=8.7640 c=8.7640 alpha=98.55 beta=98.55 gamma=98.55
Closest atoms and distances in Å follow each position.
Sites, in units of the cell vectors:
Dy  0.0000  0.0000  0.0000  6 Y 3.59
Y  0.7435  0.2036  0.2036  4 Er 2.95-3.19
Y  0.2036  0.2036  0.7435  4 Er 2.95-3.19
Y  0.2036  0.7435  0.2036  4 Er 2.95-3.19
Y  0.7964  0.7964  0.2565  4 Er 2.95-3.19
Y  0.2565  0.7964  0.7964  4 Er 2.95-3.19
Y  0.7964  0.2565  0.7964  4 Er 2.95-3.19
Er  0.8821  0.1179  0.5000  4 Y 2.95-3.19, 1 Er 3.13
Er  0.8144  0.5281  0.5281  9 Er 3.46-3.84, 3 Y 3.59-3.62
Er  0.5281  0.5281  0.8144  9 Er 3.46-3.84, 3 Y 3.59-3.62
Er  0.4719  0.1856  0.4719  9 Er 3.46-3.84, 3 Y 3.59-3.62
Er  0.4719  0.4719  0.1856  9 Er 3.46-3.84, 3 Y 3.59-3.62
Er  0.1856  0.4719  0.4719  9 Er 3.46-3.84, 3 Y 3.59-3.62
Er  0.1179  0.5000  0.8821  4 Y 2.95-3.19, 1 Er 3.13
Er  0.5000  0.8821  0.1179  4 Y 2.95-3.19, 1 Er 3.13
Er  0.1179  0.8821  0.5000  4 Y 2.95-3.19, 1 Er 3.13
Er  0.8821  0.5000  0.1179  4 Y 2.95-3.19, 1 Er 3.13
Er  0.5000  0.1179  0.8821  4 Y 2.95-3.19, 1 Er 3.13
Er  0.5281  0.8144  0.5281  9 Er 3.46-3.84, 3 Y 3.59-3.62

Summary:
calculated formation energy = 0.482 eV per atom
N(E_F) = 22.38 states/eV/cell
crystal system = trigonal



Q: Which value of calculated formation energy does entry 3 give?
A: 0.482 eV per atom



Q: The highest calculated formation energy belongs to which entry?
A: DyY6Er12